Entry 1:
LiCrAg (GGA-PBE, relaxed); formation enthalpy at 0 K = 363.1 meV per atom; E above lowest polymorph = 125 meV per atom; space-group type = No. 44
1.0
-1.5091 1.9347 4.3364
1.5091 -1.9347 4.3364
1.5091 1.9347 -4.3364
Li Cr Ag
1 1 1
direct
0.0000 0.0000 0.0000
0.6743 0.6743 0.0000
0.3407 0.3407 0.0000

=====

Entry 2:
LaMgSc2 (GGA-PBE, relaxed); formation enthalpy at 0 K = 59.5 meV per atom; space-group type = No. 47
1.0
3.6990 0.0000 0.0000
0.0000 5.3113 0.0000
0.0000 0.0000 5.5145
La Mg Sc
1 1 2
direct
0.0000 0.0000 0.0000
0.5000 0.0000 0.5000
0.0000 0.5000 0.5000
0.5000 0.5000 0.0000

=====

Entry 3:
SrTe2Cl (GGA-PBE, relaxed); E above lowest polymorph = 0 meV per atom; space-group type = No. 139; formation energy from raw total energies = -1.246 eV per atom
1.0
-2.1917 2.1917 6.2236
2.1917 -2.1917 6.2236
2.1917 2.1917 -6.2236
Sr Te Cl
1 2 1
direct
0.0000 0.0000 0.0000
0.2500 0.7500 0.5000
0.7500 0.2500 0.5000
0.5000 0.5000 0.0000

=====

no.,M_tot (Bohr magnetons per cell),Fermi-level density of states (states/eV/cell)
1,4.398,1.26
2,0.010,6.83
3,0.000,1.17